# 1
A relaxed YMn2Te crystal, computed with GGA-PBEsol.

Summary:
- E_form (uncorrected) (meV/atom) = 94
- VASP energy (eV/atom) = -7.37
- crystal system = tetragonal

Lattice parameters (Å, degrees): 3.495 3.495 6.486 90.00 90.00 90.00
Space group P4mm (No. 99)
Unique sites:
Y 0.000 0.000 0.000
Mn 0.000 0.000 0.458
Mn 0.500 0.500 0.272
Te 0.500 0.500 0.683



# 2
A relaxed Be3PdPb crystal, computed with GGA-PBEsol.

Summary:
- VASP energy (eV/atom) = -2.99
- crystal system = cubic
- energy relative to the elements (eV/atom) = 1.4017

Lattice parameters (Å, degrees): 4.496 4.496 4.496 90.00 90.00 90.00
Space group Pm-3m (No. 221)
Unique sites:
Be 0.000 0.000 0.500
Pd 0.500 0.500 0.500
Pb 0.000 0.000 0.000



# 3
A relaxed CsTl3Cl crystal, computed with GGA-PBEsol.

Summary:
- E_form (uncorrected) (meV/atom) = 643
- VASP energy (eV/atom) = -1.53
- crystal system = cubic

Lattice parameters (Å, degrees): 6.553 6.553 6.553 90.00 90.00 90.00
Space group Pm-3m (No. 221)
Unique sites:
Cs 0.000 0.000 0.000
Tl 0.000 0.000 0.500
Cl 0.500 0.500 0.500



# 4
A relaxed CsSrSb2Pb crystal, computed with GGA-PBEsol.

Summary:
- E_form (uncorrected) (meV/atom) = 77
- VASP energy (eV/atom) = -3.10
- crystal system = tetragonal

Lattice parameters (Å, degrees): 5.990 5.990 6.001 90.00 90.00 90.00
Space group P4/mmm (No. 123)
Unique sites:
Cs 0.000 0.000 0.000
Sr 0.500 0.500 0.000
Sb 0.000 0.500 0.500
Pb 0.500 0.500 0.500



# 5
A relaxed CaMg2Sb crystal, computed with GGA-PBEsol.

Summary:
- E_form (uncorrected) (meV/atom) = -263
- VASP energy (eV/atom) = -2.79
- relative energy among the computed polymorphs (meV per atom) = 86
- crystal system = cubic

Lattice parameters (Å, degrees): 7.446 7.446 7.446 90.00 90.00 90.00
Space group F-43m (No. 216)
Unique sites:
Ca 0.000 0.000 0.000
Mg 0.000 0.000 0.500
Mg 0.250 0.250 0.250
Sb 0.250 0.250 0.750



# 6
A relaxed NiAgW2 crystal, computed with GGA-PBEsol.

Summary:
- VASP energy (eV/atom) = -8.91
- relative energy among the computed polymorphs (meV per atom) = 0
- crystal system = monoclinic
- energy relative to the elements (eV/atom) = 0.3656

Lattice parameters (Å, degrees): 2.616 4.233 5.310 90.00 99.62 90.00
Space group Pm (No. 6)
Unique sites:
Ni 0.000 0.000 0.000
Ag 0.922 0.500 0.736
W 0.323 0.000 0.485
W 0.588 0.500 0.208



# 7
A relaxed SeSF2 crystal, computed with GGA-PBEsol.

Summary:
- E_form (uncorrected) (meV/atom) = -354
- VASP energy (eV/atom) = -3.38
- crystal system = tetragonal

Lattice parameters (Å, degrees): 3.692 3.692 15.599 90.00 90.00 90.00
Space group I-42d (No. 122)
Unique sites:
Se 0.000 0.000 0.000
S 0.000 0.000 0.500
F 0.229 0.250 0.125



# 8
A relaxed Sr2YTlPd crystal, computed with GGA-PBEsol.

Summary:
- VASP energy (eV/atom) = -3.33
- crystal system = tetragonal
- energy relative to the elements (eV/atom) = 0.4844

Lattice parameters (Å, degrees): 6.359 6.359 4.820 90.00 90.00 90.00
Space group P4/mmm (No. 123)
Unique sites:
Sr 0.000 0.500 0.000
Y 0.000 0.000 0.000
Tl 0.500 0.500 0.500
Pd 0.000 0.000 0.500



# 9
A relaxed Re2Os crystal, computed with GGA-PBEsol.

Summary:
- VASP energy (eV/atom) = -13.04
- relative energy among the computed polymorphs (meV per atom) = 0
- crystal system = monoclinic
- energy relative to the elements (eV/atom) = -0.0760

Lattice parameters (Å, degrees): 9.992 2.739 6.472 90.00 103.98 90.00
Space group C2/m (No. 12)
Unique sites:
Re 0.136 0.000 0.027
Re 0.193 0.000 0.639
Os 0.028 0.500 0.305



# 10
A relaxed YCu2O4 crystal, computed with GGA-PBEsol.

Summary:
- E_form (uncorrected) (meV/atom) = -1715
- VASP energy (eV/atom) = -6.93
- crystal system = tetragonal

Lattice parameters (Å, degrees): 5.601 5.601 9.526 90.00 90.00 90.00
Space group I4_1/a (No. 88, origin choice 2)
Unique sites:
Y 0.000 0.250 0.125
Cu 0.000 0.000 0.500
O 0.146 0.042 0.323



# 11
A relaxed SrSn2Pt2 crystal, computed with GGA-PBEsol.

Summary:
- VASP energy (eV/atom) = -5.58
- crystal system = tetragonal
- energy relative to the elements (eV/atom) = -0.7209

Lattice parameters (Å, degrees): 4.597 4.597 10.788 90.00 90.00 90.00
Space group I4/mmm (No. 139)
Unique sites:
Sr 0.000 0.000 0.000
Sn 0.000 0.500 0.250
Pt 0.000 0.000 0.377



# 12
A relaxed AgWBr2 crystal, computed with GGA-PBEsol.

Summary:
- E_form (uncorrected) (meV/atom) = 511
- VASP energy (eV/atom) = -4.70
- relative energy among the computed polymorphs (meV per atom) = 0
- crystal system = orthorhombic

Lattice parameters (Å, degrees): 3.078 5.322 9.882 90.00 90.00 90.00
Space group Cmm2 (No. 35)
Unique sites:
Ag 0.000 0.000 0.000
W 0.000 0.500 0.232
Br 0.000 0.000 0.439
Br 0.000 0.500 0.771



Which of these has the lowest VASP energy?
Re2Os